! VSe2F (PBE with a Hubbard U, relaxed); values from VASP
&SYSTEM
  ibrav = 0, nat = 4, ntyp = 3
/
ATOMIC_SPECIES
V 50.94 V.upf
Se 78.96 Se.upf
F 19.00 F.upf
ATOMIC_POSITIONS crystal
V 0.000 0.000 0.000
Se 0.250 0.250 0.250
Se 0.750 0.750 0.750
F 0.500 0.500 0.500
CELL_PARAMETERS angstrom
0.000 3.176 3.176
3.176 0.000 3.176
3.176 3.176 0.000
! - crystal system = cubic
! - SG = No. 225
! - electronic total energy (eV for the cell shown) = -17.64
! - E above lowest polymorph (kJ per mole of atoms) = 17.4
! - calculated volume (Å³ per atom) = 16.0
! - density of states at the Fermi level (states/eV per cell) = 2.280